[1]
A plane-wave DFT calculation with PBE was carried out for a relaxed HfTi2CuH crystal.

Output
Volume (Å³/atom): 13.8
Energy above the lowest structure with this stoichiometry (eV/atom): 0.064

POSCAR file:
```
HfTi2CuH
1.0
-2.7932 -2.6881 1.3856
2.1876 -0.4936 3.4524
-2.0662 3.0463 1.7447
Ti H Hf Cu
2 1 1 1
Direct
0.5000 0.0000 0.0000 Ti
0.0000 0.5000 0.0000 Ti
0.0000 0.0000 0.0000 H
0.5000 0.5000 0.5000 Hf
0.0000 0.0000 0.5000 Cu
```

---

[2]
A plane-wave DFT calculation with PBE was carried out for a relaxed TcTeOs2 crystal.

Output
Volume (Å³/atom): 23.6
Formation energy without anion corrections (eV/atom): 1.0524
Energy above the lowest structure with this stoichiometry (eV/atom): 0.481

POSCAR file:
```
TcTeOs2
1.0
-2.7542 -1.9081 -4.6827
4.1118 -3.9487 -0.8094
-2.2288 -6.6145 0.4661
Os Tc Te
4 2 2
Direct
0.5966 0.1250 0.2500 Os
0.8750 0.8466 0.7500 Os
0.3750 0.4034 0.7500 Os
0.1534 0.6250 0.2500 Os
0.5000 0.5000 0.0000 Tc
0.2500 0.7500 0.5000 Tc
0.0000 0.0000 0.0000 Te
0.7500 0.2500 0.5000 Te
```

---

[3]
A plane-wave DFT calculation with PBE was carried out for a relaxed YSc2SbH crystal.

Output
E_tot (eV/atom): -5.851
Volume (Å³/atom): 19.2

POSCAR file:
```
YSc2SbH
1.0
-3.1728 -2.4075 2.2484
-1.2638 -1.9932 -3.9177
3.0462 -3.3436 0.7185
H Sc Sb Y
1 2 1 1
Direct
0.0000 0.0000 0.0000 H
0.0000 0.5000 0.0000 Sc
0.5000 0.0000 0.0000 Sc
0.5000 0.5000 0.5000 Sb
0.0000 0.0000 0.5000 Y
```

---

[4]
A plane-wave DFT calculation with PBE was carried out for a relaxed Rb2Zn2Te3 crystal.

Output
Volume (Å³/atom): 36.9
Formation energy without anion corrections (eV/atom): -0.6957
Energy above the lowest structure with this stoichiometry (eV/atom): 0.011

POSCAR file:
```
Rb2Zn2Te3
1.0
4.5103 0.0000 0.0000
0.0000 9.1378 -1.2407
-2.2552 -3.8750 6.8001
Rb Zn Te
2 2 3
Direct
0.5588 0.7769 0.1176 Rb
0.4412 0.2231 0.8824 Rb
0.1932 0.3195 0.3863 Zn
0.8068 0.6805 0.6137 Zn
0.0000 0.0000 0.0000 Te
0.8116 0.3844 0.6232 Te
0.1884 0.6156 0.3768 Te
```